Record 1
## Er3ZnGa2 (PBE)

Data for an optimized crystal structure of Er3ZnGa2.

## Properties
SG: No. 164
Size of the total moment (μB/atom): 0.000
ΔE to the lowest computed polymorph (eV per formula unit): 0.00
Volume (Å³ per cell): 265.2
Calculated formation energy (kJ per mole of atoms): -49.8

The structure in extended XYZ format:
```
12
Lattice="5.005 0.000 0.000 -2.503 4.335 0.000 0.000 0.000 12.223" Properties=species:S:1:pos:R:3 pbc="T T T"
Zn 2.503 1.445 4.058
Zn 0.000 2.890 8.165
Ga 2.503 1.445 10.116
Ga 0.000 2.890 2.107
Ga 0.000 0.000 0.000
Ga 0.000 0.000 6.111
Er 0.000 2.890 11.214
Er 0.000 2.890 5.107
Er 0.000 0.000 3.054
Er 2.503 1.445 1.009
Er 2.503 1.445 7.116
Er 0.000 0.000 9.168
```

***

Record 2
## Ba2Li3MgCd4 (PBE)

Data for an optimized crystal structure of Ba2Li3MgCd4.

## Properties
SG: No. 115
Size of the total moment (μB/atom): 0.000
Volume (Å³ per cell): 285.3
Calculated formation energy (kJ per mole of atoms): -19.9

The structure in extended XYZ format:
```
10
Lattice="5.028 0.000 0.000 0.000 5.028 0.000 0.000 0.000 11.282" Properties=species:S:1:pos:R:3 pbc="T T T"
Cd 2.514 0.000 7.203
Cd 0.000 2.514 4.079
Cd 0.000 0.000 0.000
Cd 2.514 2.514 0.000
Li 0.000 2.514 1.253
Li 2.514 0.000 10.029
Li 0.000 0.000 5.641
Ba 0.000 2.514 8.544
Ba 2.514 0.000 2.738
Mg 2.514 2.514 5.641
```

***

Record 3
## In2CoRu (PBE)

Data for an optimized crystal structure of In2CoRu.

## Properties
SG: No. 166
Size of the total moment (μB/atom): 0.212
Volume (Å³ per cell): 67.6
Calculated formation energy (kJ per mole of atoms): 30.2

The structure in extended XYZ format:
```
4
Lattice="8.561 0.016 0.009 8.012 3.018 0.009 8.012 1.466 2.638" Properties=species:S:1:pos:R:3 pbc="T T T"
Co 18.438 3.375 1.992
In 0.062 0.011 0.007
In 12.230 2.239 1.321
Ru 6.146 1.125 0.664
```

***

Record 4
## BaYTeN2 (PBE)

Data for an optimized crystal structure of BaYTeN2.

## Properties
SG: No. 123
Formation energy from raw total energies (eV/atom): -0.13
Size of the total moment (μB/atom): 0.601
ΔE to the lowest computed polymorph (eV per formula unit): 0.00
Volume (Å³ per cell): 137.4

The structure in extended XYZ format:
```
5
Lattice="4.773 0.000 0.000 0.000 4.773 0.000 0.000 0.000 6.029" Properties=species:S:1:pos:R:3 pbc="T T T"
N 0.000 2.386 0.000
N 2.386 0.000 0.000
Ba 2.386 2.386 3.015
Te 0.000 0.000 3.015
Y 0.000 0.000 0.000
```